DFT (PBE-GGA) results for a geometry-optimized Ce2TmCo structure.

Cell lengths 3.549, 5.865, 9.539 Å; angles 90.00, 90.00, 107.55 degrees
Fractional positions:
Co 0.197 0.393 0.250
Co 0.803 0.607 0.750
Ce 0.361 0.722 0.937
Ce 0.639 0.278 0.063
Ce 0.639 0.278 0.437
Ce 0.361 0.722 0.563
Tm 0.913 0.827 0.250
Tm 0.087 0.173 0.750

Properties
Volume   23.658 A^3/atom
Calculated formation energy   -0.139 eV per atom
Symmetry   Cmcm, No. 63
Polymorph energy (0 for the lowest one)   0.000 eV per atom

DFT (PBE-GGA) results for a geometry-optimized Ce2Tm3Co2 structure.

Cell lengths 3.534, 6.106, 8.615 Å; angles 101.90, 101.86, 106.80 degrees
Fractional positions:
Tm 0.806 0.190 0.422
Tm 0.500 0.000 0.000
Tm 0.194 0.810 0.578
Co 0.952 0.142 0.762
Co 0.048 0.858 0.238
Ce 0.638 0.456 0.819
Ce 0.362 0.544 0.181

Properties
Volume   23.858 A^3/atom
Calculated formation energy   -0.195 eV per atom
Symmetry   C2/m, No. 12

DFT (PBE-GGA) results for a geometry-optimized CeTmCo3 structure.

Cell lengths 6.486, 6.486, 6.486 Å; angles 56.60, 56.60, 56.60 degrees
Fractional positions:
Tm 0.844 0.844 0.844
Tm 0.344 0.344 0.344
Ce 0.650 0.650 0.650
Ce 0.150 0.150 0.150
Co 0.862 0.862 0.253
Co 0.362 0.362 0.753
Co 0.253 0.862 0.862
Co 0.862 0.253 0.862
Co 0.362 0.753 0.362
Co 0.753 0.362 0.362

Properties
Volume   17.779 A^3/atom
Calculated formation energy   0.121 eV per atom
Symmetry   R3m, No. 160

DFT (PBE-GGA) results for a geometry-optimized CeTm2Co structure.

Cell lengths 3.664, 3.664, 9.337 Å; angles 78.69, 78.69, 60.00 degrees
Fractional positions:
Ce 0.501 0.501 0.496
Tm 0.277 0.277 0.170
Tm 0.056 0.056 0.833
Co 0.666 0.666 0.002

Properties
Volume   26.427 A^3/atom
Calculated formation energy   0.038 eV per atom
Symmetry   R3m, No. 160
Polymorph energy (0 for the lowest one)   0.239 eV per atom

DFT (PBE-GGA) results for a geometry-optimized CeTmCo4 structure.

Cell lengths 5.013, 5.013, 5.013 Å; angles 60.00, 60.00, 60.00 degrees
Fractional positions:
Ce 0.250 0.250 0.250
Co 0.124 0.625 0.625
Co 0.625 0.625 0.625
Co 0.625 0.625 0.124
Co 0.625 0.124 0.625
Tm 0.000 0.000 0.000

Properties
Volume   14.849 A^3/atom
Calculated formation energy   -0.222 eV per atom
Symmetry   F-43m, No. 216

DFT (PBE-GGA) results for a geometry-optimized CeTm2Co structure.

Cell lengths 6.222, 6.755, 9.394 Å; angles 90.00, 90.00, 90.00 degrees
Fractional positions:
Tm 0.674 0.831 0.567
Tm 0.326 0.169 0.067
Tm 0.174 0.669 0.433
Tm 0.174 0.669 0.067
Tm 0.826 0.331 0.933
Tm 0.826 0.331 0.567
Tm 0.326 0.169 0.433
Tm 0.674 0.831 0.933
Co 0.481 0.864 0.250
Co 0.019 0.364 0.250
Co 0.981 0.636 0.750
Co 0.519 0.136 0.750
Ce 0.646 0.558 0.250
Ce 0.354 0.442 0.750
Ce 0.854 0.058 0.250
Ce 0.146 0.942 0.750

Properties
Volume   24.674 A^3/atom
Calculated formation energy   -0.201 eV per atom
Symmetry   Pnma, No. 62
Polymorph energy (0 for the lowest one)   0.000 eV per atom

DFT (PBE-GGA) results for a geometry-optimized CeTm2Co9 structure.

Cell lengths 4.944, 4.944, 8.595 Å; angles 73.29, 73.29, 60.00 degrees
Fractional positions:
Co 0.665 0.665 0.005
Co 0.415 0.415 0.248
Co 0.585 0.585 0.752
Co 0.079 0.585 0.752
Co 0.585 0.079 0.752
Co 0.921 0.415 0.248
Co 0.500 0.500 0.500
Co 0.335 0.335 0.995
Co 0.415 0.921 0.248
Tm 0.860 0.860 0.421
Tm 0.140 0.140 0.579
Ce 0.000 0.000 0.000

Properties
Volume   14.301 A^3/atom
Calculated formation energy   -0.205 eV per atom
Symmetry   R-3m, No. 166

DFT (PBE-GGA) results for a geometry-optimized CeTmCo structure.

Cell lengths 5.224, 5.237, 6.646 Å; angles 66.74, 66.89, 60.02 degrees
Fractional positions:
Tm 0.885 0.885 0.346
Tm 0.115 0.115 0.654
Co 0.260 0.259 0.222
Co 0.740 0.741 0.778
Ce 0.384 0.384 0.849
Ce 0.616 0.616 0.151

Properties
Volume   23.379 A^3/atom
Calculated formation energy   -0.111 eV per atom
Symmetry   P-1, No. 2
Polymorph energy (0 for the lowest one)   0.052 eV per atom